Compound: KSiBiS4
Source: Alexandria
Functional: PBEsol
Structure: relaxed

Calculated values
V   698.48 Å³ per cell
Formation energy (no corrections)   -5.7 eV per formula unit
N(E_F)   0.00 states/eV per cell
E   -0.362 Ry/atom

Lattice parameters (Å, degrees): 6.454 6.623 17.135 90.00 107.53 90.00
Space group P2_1/c (No. 14)
Unique sites:
K 0.224 0.249 0.466 [4 per cell]
Si 0.289 0.737 0.342 [4 per cell]
Bi 0.263 0.212 0.722 [4 per cell]
S 0.087 0.744 0.419 [4 per cell]
S 0.092 0.690 0.218 [4 per cell]
S 0.480 0.501 0.634 [4 per cell]
S 0.486 0.000 0.358 [4 per cell]

***

Compound: KBi2Sb2
Source: Alexandria
Functional: PBEsol
Structure: relaxed

Calculated values
V   315.03 Å³ per cell
Formation energy (no corrections)   -0.2 eV per formula unit
N(E_F)   5.17 states/eV per cell
E   -0.280 Ry/atom

Lattice parameters (Å, degrees): 8.809 8.809 4.060 90.00 90.00 90.00
Space group P4/mbm (No. 127)
Unique sites:
K 0.000 0.000 0.000 [2 per cell]
Bi 0.132 0.368 0.000 [4 per cell]
Sb 0.163 0.663 0.500 [4 per cell]

***

Compound: KBi3Sb
Source: Alexandria
Functional: PBEsol
Structure: relaxed

Calculated values
V   187.97 Å³ per cell
Formation energy (no corrections)   6.2 eV per formula unit
N(E_F)   8.13 states/eV per cell
E   -0.181 Ry/atom

Lattice parameters (Å, degrees): 5.728 5.728 5.728 90.00 90.00 90.00
Space group Pm-3m (No. 221)
Unique sites:
K 0.000 0.000 0.000 [1 per cell]
Bi 0.000 0.000 0.500 [3 per cell]
Sb 0.500 0.500 0.500 [1 per cell]

***

> V of number 1 (KSiBiS4)?

698.48 Å³ per cell